# 1
Mg2TlMo: relaxed, PBE-GGA.

Calculated values
Energy relative to the elements = 0.400 eV/atom

Lattice parameters (Å, degrees): 2.970 2.970 9.581 90.00 90.00 103.17
Fractional coordinates of all 4 atoms:
Tl (0.500, 0.500, 0.736)
Mo (0.000, 0.000, 0.491)
Mg (0.500, 0.500, 0.268)
Mg (0.000, 0.000, 0.005)


# 2
Cr2CuBr: relaxed, PBE-GGA.

Calculated values
E_form (uncorrected) = 1.84 eV per formula unit

Lattice parameters (Å, degrees): 6.413 6.413 6.413 151.44 143.45 47.03
Last column: magnetic moment on the atom in μB.
Fractional coordinates of all 4 atoms:
Cr (0.002, 0.002, 0.000)  -3.27
Cr (0.833, 0.333, 0.500)  3.40
Br (0.199, 0.699, 0.500)  -0.01
Cu (0.465, 0.465, 0.000)  -0.04


# 3
TlC2S: relaxed, PBE-GGA.

Calculated values
E_form (uncorrected) = 6.71 eV per formula unit

Lattice parameters (Å, degrees): 5.400 5.400 5.303 59.39 59.39 90.00
Fractional coordinates of all 8 atoms:
C (0.501, 0.125, 0.250)
C (0.875, 0.751, 0.750)
Tl (0.000, 0.000, 0.000)
S (0.250, 0.750, 0.500)
Tl (0.750, 0.250, 0.500)
S (0.500, 0.500, 0.000)
C (0.375, 0.499, 0.750)
C (0.249, 0.625, 0.250)


# 4
TcSe2I: relaxed, PBE-GGA.

Calculated values
E_form (uncorrected) = -0.78 eV per formula unit

Lattice parameters (Å, degrees): 9.764 9.764 7.509 49.45 49.45 90.00
Fractional coordinates of all 8 atoms:
Tc (0.250, 0.750, 0.500)
Se (0.367, 0.133, 0.000)
Se (0.133, 0.633, 0.000)
Se (0.867, 0.367, 0.000)
Se (0.633, 0.867, 0.000)
I (0.250, 0.250, 0.500)
I (0.750, 0.750, 0.500)
Tc (0.750, 0.250, 0.500)


# 5
Mg2ZrW: relaxed, PBE-GGA.

Calculated values
Energy relative to the elements = 0.338 eV/atom

Lattice parameters (Å, degrees): 5.488 5.812 2.849 81.61 77.86 114.87
Fractional coordinates of all 4 atoms:
W (0.000, 0.500, 0.500)
Mg (0.000, 0.000, 0.000)
Zr (0.500, 0.500, 0.000)
Mg (0.500, 0.000, 0.500)


# 6
K2OsW2: relaxed, PBE-GGA.

Calculated values
Energy relative to the elements = 1.785 eV/atom

Lattice parameters (Å, degrees): 3.647 3.647 8.636 77.81 77.81 90.00
Last column: magnetic moment on the atom in μB.
Fractional coordinates of all 5 atoms:
W (0.568, 0.568, 0.863)  0.08
K (0.250, 0.750, 0.500)  0.07
W (0.432, 0.432, 0.137)  0.08
K (0.750, 0.250, 0.500)  0.07
Os (0.000, 0.000, 0.000)  0.00


# 7
Zr3RhC: relaxed, PBE-GGA.

Calculated values
Energy relative to the elements = -0.668 eV/atom

Lattice parameters (Å, degrees): 3.327 6.139 8.936 90.00 90.00 105.72
Fractional coordinates of all 10 atoms:
Zr (0.629, 0.257, 0.442)
C (0.000, 0.000, 0.500)
C (0.000, 0.000, 0.000)
Zr (0.371, 0.743, 0.942)
Rh (0.252, 0.505, 0.250)
Zr (0.629, 0.257, 0.058)
Rh (0.748, 0.495, 0.750)
Zr (0.371, 0.743, 0.558)
Zr (0.941, 0.883, 0.250)
Zr (0.059, 0.117, 0.750)


# 8
TlIrSe2: relaxed, PBE-GGA.

Calculated values
E_form (uncorrected) = -0.21 eV per formula unit

Lattice parameters (Å, degrees): 4.266 4.287 6.599 70.97 90.00 90.00
Fractional coordinates of all 4 atoms:
Se (0.000, 0.888, 0.849)
Ir (0.500, 0.804, 0.017)
Tl (0.000, 0.595, 0.436)
Se (0.500, 0.213, 0.198)


# 9
Y2Hf2Pd: relaxed, PBE-GGA.

Calculated values
Energy relative to the elements = -0.102 eV/atom

Lattice parameters (Å, degrees): 6.957 6.957 5.185 90.00 90.00 90.00
Fractional coordinates of all 10 atoms:
Y (0.164, 0.664, 0.500)
Hf (0.352, 0.852, 0.000)
Hf (0.852, 0.648, 0.000)
Y (0.664, 0.836, 0.500)
Y (0.836, 0.336, 0.500)
Hf (0.148, 0.352, 0.000)
Pd (0.000, 0.000, 0.000)
Y (0.336, 0.164, 0.500)
Pd (0.500, 0.500, 0.000)
Hf (0.648, 0.148, 0.000)


# 10
Tb8Tm2Sn: relaxed, PBE-GGA.

Calculated values
Energy relative to the elements = -0.099 eV/atom

Lattice parameters (Å, degrees): 5.534 6.424 10.063 85.40 105.96 90.00
Fractional coordinates of all 11 atoms:
Tb (0.044, 0.738, 0.088)
Sn (0.500, 0.000, 0.000)
Tb (0.421, 0.598, 0.842)
Tm (0.243, 0.662, 0.485)
Tb (0.156, 0.197, 0.311)
Tb (0.579, 0.402, 0.158)
Tb (0.844, 0.803, 0.689)
Tb (0.662, 0.878, 0.325)
Tm (0.757, 0.338, 0.515)
Tb (0.338, 0.122, 0.675)
Tb (0.956, 0.262, 0.912)


# 11
Sr2CaIr: relaxed, PBE-GGA.

Calculated values
Energy relative to the elements = 0.070 eV/atom

Lattice parameters (Å, degrees): 10.604 10.604 10.604 23.23 23.23 23.23
Fractional coordinates of all 4 atoms:
Ca (0.250, 0.250, 0.250)
Sr (0.032, 0.032, 0.032)
Sr (0.468, 0.468, 0.468)
Ir (0.750, 0.750, 0.750)


# 12
ErThNi10: relaxed, PBE-GGA.

Calculated values
Energy relative to the elements = -0.370 eV/atom

Lattice parameters (Å, degrees): 3.979 4.903 8.476 90.00 90.00 90.00
Last column: magnetic moment on the atom in μB.
Fractional coordinates of all 12 atoms:
Ni (0.500, 0.251, 0.747)  0.31
Ni (0.500, 0.251, 0.253)  0.31
Er (0.000, 0.500, 0.500)  -0.07
Ni (0.500, 0.749, 0.747)  0.31
Ni (0.000, 0.500, 0.831)  0.21
Ni (0.000, 0.000, 0.664)  0.23
Th (0.000, 0.000, 0.000)  -0.07
Ni (0.500, 0.000, 0.500)  0.35
Ni (0.000, 0.500, 0.169)  0.21
Ni (0.500, 0.500, 0.000)  0.30
Ni (0.500, 0.749, 0.253)  0.31
Ni (0.000, 0.000, 0.336)  0.23


Number 1: volume 20.57 A^3/atom, ρ 7.04 Mg/m³. Number 2: volume 18.71 A^3/atom, ρ 5.49 Mg/m³. Number 3: volume 13.41 A^3/atom, ρ 8.06 Mg/m³. Number 4: volume 35.18 A^3/atom, ρ 4.52 Mg/m³. Number 5: volume 19.44 A^3/atom, ρ 6.91 Mg/m³. Number 6: volume 21.93 A^3/atom, ρ 9.63 Mg/m³. Number 7: volume 17.57 A^3/atom, ρ 7.35 Mg/m³. Number 8: volume 28.52 A^3/atom, ρ 8.07 Mg/m³. Number 9: volume 25.10 A^3/atom, ρ 8.48 Mg/m³. Number 10: volume 31.16 A^3/atom, ρ 8.37 Mg/m³. Number 11: volume 40.73 A^3/atom, ρ 4.15 Mg/m³. Number 12: volume 13.78 A^3/atom, ρ 9.90 Mg/m³.